Material: Na2BeCl4
Method: DFT, PBEsol
State: optimized geometry

```
Na2BeCl4
1.0
-2.2305 -5.3949 -1.8729
3.9702 -3.7311 6.0192
-10.8300 1.6440 8.1623
Cl Be Na
16 4 8
Direct
0.2139 0.4525 0.3381
0.7139 0.5475 0.1619
0.7861 0.5475 0.6619
0.7875 0.7500 0.4527
0.2861 0.4525 0.8381
0.2861 0.0475 0.8381
0.2582 0.7500 0.0934
0.7582 0.2500 0.4066
0.2139 0.0475 0.3381
0.7139 0.9525 0.1619
0.2418 0.7500 0.5934
0.2125 0.2500 0.5473
0.7125 0.7500 0.9527
0.7861 0.9525 0.6619
0.2875 0.2500 0.0473
0.7418 0.2500 0.9066
0.0887 0.2500 0.4072
0.9113 0.7500 0.5928
0.4113 0.2500 0.9072
0.5887 0.7500 0.0928
0.4925 0.7500 0.7743
0.5075 0.2500 0.2257
0.0075 0.7500 0.2743
0.9925 0.2500 0.7257
0.0000 0.0000 0.0000
0.5000 0.0000 0.5000
0.0000 0.5000 0.0000
0.5000 0.5000 0.5000
```

Properties
* SG: Pnma
* magnetic moment: 0.00 μB per formula unit
* energy relative to the elements, uncorrected: -1.6514 eV/atom